1.
VASP calculation (PBE-GGA) on Nd2Sm2CI4Cl after structural relaxation.

Relative energy among the computed polymorphs (eV/atom): 0.000
Size of the total moment (μB per formula unit): 0.01

Unit cell a=9.926 b=9.926 c=8.420 alpha=101.96 beta=101.96 gamma=23.29
Element x y z (fractional)
Nd: 0.002 0.002 0.291
Nd: 0.998 0.998 0.709
Sm: 0.369 0.369 0.431
Sm: 0.631 0.631 0.569
C: 0.500 0.500 0.500
I: 0.164 0.164 0.857
I: 0.171 0.171 0.317
I: 0.829 0.829 0.683
I: 0.836 0.836 0.143
Cl: 0.500 0.500 0.000



2.
VASP calculation (PBE-GGA) on Nd2Sm2C2I2Cl3 after structural relaxation.

Relative energy among the computed polymorphs (eV/atom): 0.023
Size of the total moment (μB per formula unit): 0.01

Unit cell a=10.109 b=10.109 c=8.038 alpha=101.79 beta=101.79 gamma=22.23
Element x y z (fractional)
Nd: 0.152 0.152 0.097
Nd: 0.848 0.848 0.903
Sm: 0.499 0.499 0.794
Sm: 0.501 0.501 0.206
C: 0.036 0.036 0.020
C: 0.964 0.964 0.980
I: 0.332 0.332 0.206
I: 0.668 0.668 0.794
Cl: 0.000 0.000 0.500
Cl: 0.352 0.352 0.653
Cl: 0.648 0.648 0.347



3.
VASP calculation (PBE-GGA) on Nd2Sm2C2ICl4 after structural relaxation.

Relative energy among the computed polymorphs (eV/atom): 0.000
Size of the total moment (μB per formula unit): 0.01

Unit cell a=9.603 b=9.603 c=8.593 alpha=103.76 beta=103.76 gamma=23.63
Element x y z (fractional)
Nd: 0.000 0.000 0.192
Nd: 0.000 0.000 0.808
Sm: 0.340 0.340 0.907
Sm: 0.660 0.660 0.093
C: 0.461 0.461 0.979
C: 0.539 0.539 0.021
I: 0.500 0.500 0.500
Cl: 0.162 0.162 0.322
Cl: 0.171 0.171 0.860
Cl: 0.829 0.829 0.140
Cl: 0.838 0.838 0.678



4.
VASP calculation (PBE-GGA) on Nd2Sm2CI4Cl after structural relaxation.

Relative energy among the computed polymorphs (eV/atom): 0.012
Size of the total moment (μB per formula unit): 0.01

Unit cell a=9.868 b=9.868 c=8.449 alpha=102.26 beta=102.26 gamma=23.35
Element x y z (fractional)
Nd: 0.134 0.134 0.071
Nd: 0.866 0.866 0.929
Sm: 0.499 0.499 0.205
Sm: 0.501 0.501 0.795
C: 0.000 0.000 0.000
I: 0.331 0.331 0.190
I: 0.338 0.338 0.637
I: 0.662 0.662 0.363
I: 0.669 0.669 0.810
Cl: 0.000 0.000 0.500



| no. | density (g cm⁻³) | V (Å³ per cell) |
| --- | --- | --- |
| 1 | 5.926 | 320.6 |
| 2 | 5.318 | 304.0 |
| 3 | 4.753 | 308.1 |
| 4 | 5.970 | 318.3 |